Crystalline Sc3TiBr at its relaxed geometry, computed with GGA-PBE.

Results
The value obtained for the uncorrected formation energy is 0.157 eV per atom. The calculation puts the energy at -5.56 eV per atom. The calculation puts the polymorph energy (0 for the lowest one) at 0.000 eV per formula unit. The value obtained for the spin magnetization is 0.0 μB per cell. Its space-group type is Pm-3m, No. 221.

Cell lengths 4.9586, 4.9586, 4.9586 Å; angles 90.00, 90.00, 90.00 degrees
Positions (direct):
1 Sc 0.0000 0.0000 0.5000
2 Sc 0.0000 0.5000 0.0000
3 Sc 0.5000 0.0000 0.0000
4 Ti 0.5000 0.5000 0.5000
5 Br 0.0000 0.0000 0.0000